(1)
Computed, not measured: an optimized crystal structure of BaCa2H at the PBEsol level of DFT.

Cell lengths 7.3888, 7.3888, 7.3888 Å; angles 60.00, 60.00, 60.00 degrees
With the nearest neighbours (Å) after each atom.
Fractional positions:
H 0.2500 0.2500 0.2500  4 Ca 2.26
Ba 0.5000 0.5000 0.5000  12 Ca 4.33, 4 Ba 4.52, 4 H 4.52
Ca 0.6250 0.1250 0.1250  2 H 2.26
Ca 0.1250 0.1250 0.6250  2 H 2.26
H 0.0000 0.0000 0.0000  4 Ca 2.26
Ca 0.1250 0.6250 0.1250  2 H 2.26
Ca 0.1250 0.1250 0.1250  2 H 2.26
Ba 0.7500 0.7500 0.7500  12 Ca 4.33, 4 Ba 4.52, 4 H 4.52

Calculated values
As for the total energy: -21.0 eV for the cell shown.

***

(2)
Computed, not measured: an optimized crystal structure of Nb2CuTe4 at the PBEsol level of DFT.

Cell lengths 3.6009, 6.6800, 7.2599 Å; angles 107.70, 90.00, 90.00 degrees
With the nearest neighbours (Å) after each atom.
Fractional positions:
Cu 0.0000 0.5963 0.5818  4 Te 2.54-2.58
Te 0.0000 0.5004 0.2149  1 Cu 2.54
Te 0.5000 0.0136 0.2922  3 Nb 2.73-2.76
Nb 0.0000 0.8170 0.0062  6 Te 2.76-2.95, 1 Cu 2.98, 2 Nb 3.05
Te 0.5000 0.4950 0.7910  2 Cu 2.58, 2 Nb 2.88
Nb 0.5000 0.1816 0.9929  6 Te 2.73-2.90, 2 Nb 3.05
Te 0.0000 0.9979 0.7047  1 Cu 2.56, 3 Nb 2.75-2.80

Calculated values
As for the total energy: -42.8 eV for the cell shown. As for the uncorrected formation energy: -2.7 eV/f.u.

***

(3)
Computed, not measured: an optimized crystal structure of BaY2As at the PBEsol level of DFT.

Cell lengths 3.6302, 3.6302, 9.4592 Å; angles 90.00, 90.00, 90.00 degrees
With the nearest neighbours (Å) after each atom.
Fractional positions:
As 0.5000 0.5000 0.0000  8 Y 3.01
Y 0.0000 0.0000 0.1664  4 As 3.01, 1 Y 3.15
Ba 0.5000 0.5000 0.5000  4 Ba 3.63
Y 0.0000 0.0000 0.8336  4 As 3.01, 1 Y 3.15

Calculated values
For the energy of formation, the calculation gives -0.48 eV/atom. As for the total energy: -22.8 eV for the cell shown.

***

(4)
Computed, not measured: an optimized crystal structure of Zr3Au2 at the PBEsol level of DFT.

Cell lengths 5.4084, 5.7903, 7.5988 Å; angles 99.57, 110.85, 62.16 degrees
With the nearest neighbours (Å) after each atom.
Fractional positions:
Au 0.9007 0.5545 0.0980  8 Zr 2.84-3.16, 2 Au 3.09
Au 0.7051 0.9455 0.5980  8 Zr 2.84-3.16, 2 Au 3.09
Zr 0.9141 0.0000 0.0000  6 Au 2.84-3.15, 4 Zr 3.13
Au 0.0527 0.0545 0.4020  8 Zr 2.84-3.16, 2 Au 3.09
Zr 0.4640 0.1077 0.2077  5 Au 2.87-3.16, 6 Zr 2.96-3.19
Zr 0.3640 0.8923 0.7923  5 Au 2.87-3.16, 6 Zr 2.96-3.19
Au 0.3571 0.4455 0.9020  8 Zr 2.84-3.16, 2 Au 3.09
Zr 0.1641 0.5000 0.5000  6 Au 2.84-3.15, 4 Zr 3.13
Zr 0.8217 0.3923 0.7077  5 Au 2.87-3.16, 6 Zr 2.96-3.19
Zr 0.5063 0.6077 0.2923  5 Au 2.87-3.16, 6 Zr 2.96-3.19

Calculated values
For the energy of formation, the calculation gives -0.41 eV/atom. As for the total energy: -74.3 eV for the cell shown.

***

(5)
Computed, not measured: an optimized crystal structure of Na5Si34 at the PBEsol level of DFT.

Cell lengths 10.3811, 10.3811, 10.3700 Å; angles 59.96, 59.96, 60.00 degrees
With the nearest neighbours (Å) after each atom.
Fractional positions:
Si 0.7824 0.7824 0.2815  4 Si 2.36
Si 0.8462 0.2176 0.7185  4 Si 2.36
Si 0.1538 0.7824 0.2815  4 Si 2.36
Si 0.2361 0.6288 0.1288  4 Si 2.35-2.39
Si 0.3712 0.7639 0.8712  4 Si 2.35-2.39
Si 0.6285 0.0059 0.7371  4 Si 2.35-2.40
Si 0.2362 0.6292 0.5054  4 Si 2.36-2.40
Si 0.6288 0.2361 0.1288  4 Si 2.35-2.39
Si 0.0059 0.6285 0.7371  4 Si 2.35-2.40
Si 0.3712 0.9938 0.8712  4 Si 2.35-2.39
Na 0.3750 0.3750 0.8751  28 Si 3.91-4.00
Si 0.2361 0.0062 0.1288  4 Si 2.35-2.39
Si 0.7824 0.7824 0.6529  4 Si 2.36-2.37
Si 0.7639 0.9938 0.8712  4 Si 2.35-2.39
Si 0.9941 0.3715 0.2629  4 Si 2.35-2.40
Si 0.6292 0.6292 0.5054  4 Si 2.36-2.40
Si 0.2176 0.2176 0.3471  4 Si 2.36-2.37
Si 0.6292 0.2362 0.5054  4 Si 2.36-2.40
Si 0.7824 0.1538 0.2815  4 Si 2.36
Na 0.5000 0.0000 0.5000  20 Si 3.18-3.37
Si 0.0062 0.2361 0.1288  4 Si 2.35-2.39
Si 0.3708 0.7638 0.4946  4 Si 2.36-2.40
Si 0.9938 0.3712 0.8712  4 Si 2.35-2.39
Si 0.2176 0.8462 0.7185  4 Si 2.36
Si 0.3715 0.9941 0.2629  4 Si 2.35-2.40
Si 0.8754 0.8754 0.3737  4 Si 2.36
Si 0.6285 0.6285 0.7371  4 Si 2.35-2.40
Si 0.3715 0.3715 0.2629  4 Si 2.35-2.40
Si 0.3708 0.3708 0.4946  4 Si 2.36-2.40
Si 0.7639 0.3712 0.8712  4 Si 2.35-2.39
Si 0.6288 0.0062 0.1288  4 Si 2.35-2.39
Si 0.0062 0.6288 0.1288  4 Si 2.35-2.39
Si 0.9938 0.7639 0.8712  4 Si 2.35-2.39
Si 0.7638 0.3708 0.4946  4 Si 2.36-2.40
Si 0.1246 0.1246 0.6263  4 Si 2.36
Si 0.2176 0.2176 0.7185  4 Si 2.36
Na 0.0000 0.0000 0.5000  20 Si 3.18-3.37
Na 0.6250 0.6250 0.1249  28 Si 3.91-4.00
Na 0.0000 0.5000 0.5000  20 Si 3.18-3.37

Calculated values
As for the total energy: -202.8 eV for the cell shown. As for the uncorrected formation energy: -0.5 eV/f.u.

***

(6)
Computed, not measured: an optimized crystal structure of MnSi2 at the PBEsol level of DFT.

Cell lengths 2.8699, 4.5120, 5.8681 Å; angles 100.15, 90.00, 108.54 degrees
With the nearest neighbours (Å) after each atom.
Fractional positions:
Si 0.9452 0.8904 0.4085  3 Mn 2.35, 5 Si 2.36-2.58
Mn 0.0112 0.0225 0.0367  8 Si 2.35-2.49
Si 0.6646 0.3291 0.3219  6 Si 2.36-2.63, 4 Mn 2.40-2.49
Si 0.6021 0.2042 0.7390  5 Mn 2.39-2.51, 5 Si 2.56-2.60
Mn 0.3179 0.6359 0.6324  8 Si 2.35-2.51
Si 0.2923 0.5846 0.0282  4 Mn 2.35-2.41, 4 Si 2.56-2.63

Calculated values
As for the total energy: -43.3 eV for the cell shown. As for the uncorrected formation energy: -0.4 eV/f.u.

***

(7)
Computed, not measured: an optimized crystal structure of ZrCdHg2 at the PBEsol level of DFT.

Cell lengths 3.0003, 4.5131, 6.2738 Å; angles 90.00, 101.41, 90.00 degrees
With the nearest neighbours (Å) after each atom.
Fractional positions:
Hg 0.1273 0.0000 0.2409  2 Cd 2.85, 3 Hg 2.97-3.00, 4 Zr 3.05-3.13
Cd 0.0000 0.5000 0.5000  4 Hg 2.85, 2 Cd 3.00
Zr 0.5000 0.5000 0.0000  2 Zr 3.00, 8 Hg 3.05-3.13, 2 Cd 3.20
Hg 0.8727 0.0000 0.7591  2 Cd 2.85, 3 Hg 2.97-3.00, 4 Zr 3.05-3.13

Calculated values
For the energy of formation, the calculation gives -0.13 eV/atom. As for the total energy: -12.0 eV for the cell shown.

***

(8)
Computed, not measured: an optimized crystal structure of ZrTa2Cl at the PBEsol level of DFT.

Cell lengths 2.8927, 2.8927, 8.4486 Å; angles 90.00, 90.00, 90.00 degrees
With the nearest neighbours (Å) after each atom.
Fractional positions:
Cl 0.5000 0.5000 0.7560  4 Ta 2.78, 4 Zr 2.84, 4 Cl 2.89
Ta 0.0000 0.0000 0.9786  4 Cl 2.78, 8 Ta 2.89-3.02
Ta 0.5000 0.5000 0.2424  8 Ta 2.89-3.02, 4 Zr 3.13
Zr 0.0000 0.0000 0.5230  4 Cl 2.84, 4 Zr 2.89, 4 Ta 3.13

Calculated values
As for the total energy: -36.0 eV for the cell shown. As for the uncorrected formation energy: 0.2 eV/f.u. As for the energy above the most stable polymorph in this dataset: 166.3 meV/atom.

***

(9)
Computed, not measured: an optimized crystal structure of LiMgAlCr2 at the PBEsol level of DFT.

Cell lengths 4.8189, 4.8189, 5.0686 Å; angles 90.00, 90.00, 90.00 degrees
With the nearest neighbours (Å) after each atom.
Fractional positions:
Cr 0.0000 0.5000 0.0000  2 Al 2.41
Al 0.0000 0.0000 0.0000  4 Cr 2.41, 2 Mg 2.53
Li 0.5000 0.5000 0.5000  4 Mg 3.41, 8 Cr 3.50
Cr 0.5000 0.0000 0.0000  2 Al 2.41
Mg 0.0000 0.0000 0.5000  2 Al 2.53

Calculated values
For the energy of formation, the calculation gives 1.08 eV/atom. As for the total energy: -22.9 eV for the cell shown.

***

(10)
Computed, not measured: an optimized crystal structure of Li5Cr4O8 at the PBEsol level of DFT.

Cell lengths 8.2539, 8.2577, 8.2682 Å; angles 90.00, 90.00, 90.00 degrees
With the nearest neighbours (Å) after each atom.
Fractional positions:
Li 0.7500 0.2501 0.7500  4 O 1.88, 4 Li 2.07
Cr 0.3751 0.3751 0.6250  6 O 2.01-2.02
O 0.3684 0.8683 0.3681  3 Li 1.98, 3 Cr 2.01
O 0.8809 0.3811 0.8814  1 Li 1.88, 3 Cr 2.02
Cr 0.8751 0.6249 0.8750  6 O 2.01-2.02
O 0.6316 0.8683 0.6319  3 Li 1.98, 3 Cr 2.01
Li 0.1056 0.6052 0.6048  3 O 1.98, 1 Li 2.07
Li 0.3944 0.3948 0.1048  3 O 1.98, 1 Li 2.07
O 0.8684 0.3683 0.3681  3 Li 1.98, 3 Cr 2.01
Cr 0.3751 0.6249 0.3750  6 O 2.01-2.02
Cr 0.8751 0.8751 0.6250  6 O 2.01-2.02
O 0.6316 0.6317 0.8681  3 Li 1.98, 3 Cr 2.01
Li 0.3945 0.6053 0.8952  3 O 1.98, 1 Li 2.07
O 0.1190 0.1189 0.3814  1 Li 1.88, 3 Cr 2.02
Li 0.3946 0.8947 0.6047  3 O 1.98, 1 Li 2.07
O 0.6190 0.3811 0.6186  1 Li 1.88, 3 Cr 2.02
Li 0.7500 0.7499 0.2500  4 O 1.88, 4 Li 2.07
O 0.8684 0.6317 0.6319  3 Li 1.98, 3 Cr 2.01
Li 0.6055 0.1053 0.6048  3 O 1.98, 1 Li 2.07
Li 0.8946 0.6053 0.3953  3 O 1.98, 1 Li 2.07
Li 0.6056 0.8948 0.3952  3 O 1.98, 1 Li 2.07
Li 0.1054 0.8947 0.8952  3 O 1.98, 1 Li 2.07
O 0.1316 0.8683 0.1319  3 Li 1.98, 3 Cr 2.01
Li 0.1055 0.3947 0.3952  3 O 1.98, 1 Li 2.07
Cr 0.1249 0.3751 0.8750  6 O 2.01-2.02
O 0.3810 0.8811 0.8814  1 Li 1.88, 3 Cr 2.02
O 0.6316 0.1317 0.3681  3 Li 1.98, 3 Cr 2.01
O 0.6191 0.1190 0.8814  1 Li 1.88, 3 Cr 2.02
O 0.3684 0.3683 0.8681  3 Li 1.98, 3 Cr 2.01
Cr 0.3751 0.8751 0.1250  6 O 2.01-2.02
Cr 0.1249 0.6249 0.1250  6 O 2.01-2.02
O 0.8684 0.1317 0.1319  3 Li 1.98, 3 Cr 2.01
Li 0.8944 0.1052 0.8952  3 O 1.98, 1 Li 2.07
O 0.1316 0.6317 0.3681  3 Li 1.98, 3 Cr 2.01
O 0.3809 0.6190 0.6186  1 Li 1.88, 3 Cr 2.02
O 0.3809 0.1189 0.1186  1 Li 1.88, 3 Cr 2.02
O 0.8810 0.6189 0.1186  1 Li 1.88, 3 Cr 2.02
Li 0.6054 0.3947 0.8953  3 O 1.98, 1 Li 2.07
O 0.6191 0.6189 0.3814  1 Li 1.88, 3 Cr 2.02
Cr 0.6249 0.3751 0.3750  6 O 2.01-2.02
Li 0.8946 0.3947 0.6048  3 O 1.98, 1 Li 2.07
Li 0.3946 0.1053 0.3952  3 O 1.98, 1 Li 2.07
Cr 0.6249 0.8751 0.8750  6 O 2.01-2.02
O 0.1191 0.3810 0.1186  1 Li 1.88, 3 Cr 2.02
O 0.8684 0.8683 0.8681  3 Li 1.98, 3 Cr 2.01
O 0.1316 0.3683 0.6319  3 Li 1.98, 3 Cr 2.01
O 0.6191 0.8810 0.1186  1 Li 1.88, 3 Cr 2.02
O 0.1191 0.6190 0.8814  1 Li 1.88, 3 Cr 2.02
Li 0.2500 0.7501 0.7500  4 O 1.88, 4 Li 2.07
Li 0.6054 0.6053 0.1048  3 O 1.98, 1 Li 2.07
O 0.1316 0.1317 0.8681  3 Li 1.98, 3 Cr 2.01
Cr 0.8751 0.1249 0.3750  6 O 2.01-2.02
Li 0.1054 0.1053 0.1047  3 O 1.98, 1 Li 2.07
Cr 0.6249 0.1249 0.1250  6 O 2.01-2.02
Cr 0.6249 0.6249 0.6250  6 O 2.01-2.02
Cr 0.8751 0.3751 0.1250  6 O 2.01-2.02
Cr 0.1249 0.1249 0.6250  6 O 2.01-2.02
O 0.3684 0.6317 0.1319  3 Li 1.98, 3 Cr 2.01
O 0.6316 0.3683 0.1319  3 Li 1.98, 3 Cr 2.01
O 0.8809 0.1190 0.6186  1 Li 1.88, 3 Cr 2.02
O 0.8809 0.8810 0.3814  1 Li 1.88, 3 Cr 2.02
O 0.1191 0.8811 0.6186  1 Li 1.88, 3 Cr 2.02
Cr 0.3751 0.1249 0.8750  6 O 2.01-2.02
Li 0.2500 0.2499 0.2500  4 O 1.88, 4 Li 2.07
O 0.3684 0.1317 0.6319  3 Li 1.98, 3 Cr 2.01
O 0.3809 0.3810 0.3814  1 Li 1.88, 3 Cr 2.02
Li 0.8945 0.8947 0.1048  3 O 1.98, 1 Li 2.07
Cr 0.1249 0.8751 0.3750  6 O 2.01-2.02

Calculated values
As for the total energy: -498.3 eV for the cell shown. As for the uncorrected formation energy: -31.8 eV/f.u.

***

(11)
Computed, not measured: an optimized crystal structure of LiCNO at the PBEsol level of DFT.

Cell lengths 3.2137, 3.2137, 5.0979 Å; angles 71.63, 71.63, 60.00 degrees
With the nearest neighbours (Å) after each atom.
Fractional positions:
N 0.4137 0.4137 0.7590  1 C 1.19
C 0.4974 0.4974 0.5079  1 N 1.19, 1 O 1.22
O 0.5832 0.5832 0.2503  1 C 1.22
Li 0.0057 0.0057 0.9828  3 N 2.14, 3 O 2.25

Calculated values
As for the total energy: -29.3 eV for the cell shown. As for the uncorrected formation energy: -3.9 eV/f.u.